DFT (GGA-PBE) results for a geometry-optimized LaB4Ir structure.

Geometry as CIF:
```
data_LaB4Ir
_chemical_formula_sum 'La2 B8 Ir2'
_symmetry_space_group_name_H-M 'I m m m'
_symmetry_Int_Tables_number 71
_symmetry_space_group_name_Hall '-I 2 2'
_cell_length_a 3.100
_cell_length_b 5.370
_cell_length_c 8.302
_cell_angle_alpha 90.00
_cell_angle_beta 90.00
_cell_angle_gamma 90.00
loop_
_atom_site_label
_atom_site_fract_x
_atom_site_fract_y
_atom_site_fract_z
La1 0.000 0.000 0.000
B1 0.000 0.334 0.249
Ir1 0.000 0.000 0.500
```

Summary:
Distance to the lowest polymorph of the same formula = 0.150 eV per atom